Er3Si2GePt9 | PBE-GGA | optimized geometry

Cell: 6.4080 6.4080 8.6993 Å, 90.00 90.00 120.00°
Closest atoms and distances in Å follow each position.
Positions (direct):
Er1 0.0000 0.0000 0.0000  12 Pt 2.89-3.20
Er2 0.3333 0.6667 0.7289  9 Pt 3.00-3.22
Er3 0.6667 0.3333 0.2711  9 Pt 3.00-3.22
Si1 0.3333 0.6667 0.1861  6 Pt 2.26-2.46
Si2 0.6667 0.3333 0.8139  6 Pt 2.26-2.46
Ge1 0.0000 0.0000 0.5000  6 Pt 2.50
Pt1 0.0000 0.5000 0.0000  2 Si 2.46
Pt2 0.1428 0.2855 0.2776  1 Si 2.26, 1 Ge 2.50
Pt3 0.1428 0.8572 0.2776  1 Si 2.26, 1 Ge 2.50
Pt4 0.2855 0.1428 0.7224  1 Si 2.26, 1 Ge 2.50
Pt5 0.5000 0.0000 0.0000  2 Si 2.46
Pt6 0.5000 0.5000 0.0000  2 Si 2.46
Pt7 0.7145 0.8572 0.2776  1 Si 2.26, 1 Ge 2.50
Pt8 0.8572 0.1428 0.7224  1 Si 2.26, 1 Ge 2.50
Pt9 0.8572 0.7145 0.7224  1 Si 2.26, 1 Ge 2.50

Output
**D(E_F)**: 0.50 states/eV/atom
**Formation energy (no corrections)**: -0.726 eV per atom